1.
{
  "formula": "AcMnSbRu",
  "functional": "PBE-GGA",
  "state": "optimized geometry",
  "dos_ef_per_ev_fu": 2.65,
  "total_magnetization_mub_per_atom": 1.195,
  "formation_energy_uncorrected_kcal_per_mol_atoms": 2.216,
  "mass_density_g_cm3": 9.64,
  "vol_a3_per_atom": 21.75,
  "lattice": [[0.000, 3.517, 3.517], [3.517, 0.000, 3.517], [3.517, 3.517, 0.000]],
  "species": ["Ac", "Mn", "Sb", "Ru"],
  "fractional_positions": [[0.000, 0.000, 0.000], [0.750, 0.750, 0.750], [0.500, 0.500, 0.500], [0.250, 0.250, 0.250]]
}

---

2.
{
  "formula": "AcMnSi2Ru",
  "functional": "PBE-GGA",
  "state": "optimized geometry",
  "dos_ef_per_ev_fu": 2.50,
  "total_magnetization_mub_per_atom": 0.489,
  "formation_energy_uncorrected_kcal_per_mol_atoms": -14.432,
  "mass_density_g_cm3": 7.79,
  "vol_a3_per_atom": 18.72,
  "lattice": [[-2.083, 2.083, 5.395], [2.083, -2.083, 5.395], [2.083, 2.083, -5.395]],
  "species": ["Ac", "Mn", "Si", "Si", "Ru"],
  "fractional_positions": [[0.000, 0.000, 0.000], [0.750, 0.250, 0.500], [0.364, 0.364, 0.000], [0.636, 0.636, 0.000], [0.250, 0.750, 0.500]]
}

---

3.
{
  "formula": "Ac2Mn2S5",
  "functional": "PBE-GGA",
  "state": "optimized geometry",
  "dos_ef_per_ev_fu": 1.81,
  "total_magnetization_mub_per_atom": 1.109,
  "formation_energy_uncorrected_kcal_per_mol_atoms": -33.421,
  "mass_density_g_cm3": 5.69,
  "vol_a3_per_atom": 23.50,
  "lattice": [[6.666, -2.087, 0.000], [6.666, 2.087, 0.000], [-2.691, 0.000, 7.602]],
  "species": ["Ac", "Ac", "Mn", "Mn", "S", "S", "S", "S", "S"],
  "fractional_positions": [[0.170, 0.170, 0.210], [0.830, 0.830, 0.790], [0.440, 0.440, 0.279], [0.560, 0.560, 0.721], [0.165, 0.165, 0.824], [0.374, 0.374, 0.550], [0.500, 0.500, 0.000], [0.626, 0.626, 0.450], [0.835, 0.835, 0.176]]
}

---

4.
{
  "formula": "AcMnS3",
  "functional": "PBE-GGA",
  "state": "optimized geometry",
  "dos_ef_per_ev_fu": 1.69,
  "total_magnetization_mub_per_atom": 0.777,
  "formation_energy_uncorrected_kcal_per_mol_atoms": -30.302,
  "mass_density_g_cm3": 6.01,
  "vol_a3_per_atom": 20.90,
  "lattice": [[4.710, 0.000, 0.000], [0.000, 4.710, 0.000], [0.000, 0.000, 4.710]],
  "species": ["Ac", "Mn", "S", "S", "S"],
  "fractional_positions": [[0.000, 0.000, 0.000], [0.500, 0.500, 0.500], [0.000, 0.500, 0.500], [0.500, 0.000, 0.500], [0.500, 0.500, 0.000]]
}

---

5.
{
  "formula": "Ac2MnS6",
  "functional": "PBE-GGA",
  "state": "optimized geometry",
  "dos_ef_per_ev_fu": 4.68,
  "total_magnetization_mub_per_atom": 0.247,
  "formation_energy_uncorrected_kcal_per_mol_atoms": -28.120,
  "mass_density_g_cm3": 5.91,
  "vol_a3_per_atom": 21.88,
  "lattice": [[5.245, -3.206, 0.000], [5.245, 3.206, 0.000], [-0.680, 0.000, 5.856]],
  "species": ["Ac", "Ac", "Mn", "S", "S", "S", "S", "S", "S"],
  "fractional_positions": [[0.163, 0.163, 0.243], [0.837, 0.837, 0.757], [0.500, 0.500, 0.000], [0.142, 0.664, 0.206], [0.336, 0.336, 0.711], [0.336, 0.858, 0.794], [0.664, 0.142, 0.206], [0.664, 0.664, 0.289], [0.858, 0.336, 0.794]]
}

---

6.
{
  "formula": "Ac6Mn3S14",
  "functional": "PBE-GGA",
  "state": "optimized geometry",
  "dos_ef_per_ev_fu": 10.22,
  "total_magnetization_mub_per_atom": 0.478,
  "formation_energy_uncorrected_kcal_per_mol_atoms": -36.551,
  "mass_density_g_cm3": 5.64,
  "vol_a3_per_atom": 25.27,
  "lattice": [[10.569, 0.000, 0.000], [-5.285, 9.153, 0.000], [0.000, 0.000, 6.008]],
  "species": ["Ac", "Ac", "Ac", "Ac", "Ac", "Ac", "Mn", "Mn", "Mn", "S", "S", "S", "S", "S", "S", "S", "S", "S", "S", "S", "S", "S", "S"],
  "fractional_positions": [[0.035, 0.469, 0.000], [0.294, 0.197, 0.499], [0.434, 0.965, 0.000], [0.531, 0.566, 0.000], [0.803, 0.097, 0.499], [0.903, 0.706, 0.499], [0.000, 0.000, 0.082], [0.333, 0.667, 0.585], [0.667, 0.333, 0.735], [0.000, 0.000, 0.707], [0.080, 0.233, 0.215], [0.153, 0.920, 0.215], [0.189, 0.749, 0.717], [0.251, 0.440, 0.717], [0.333, 0.667, 0.218], [0.444, 0.250, 0.959], [0.523, 0.112, 0.520], [0.560, 0.811, 0.717], [0.588, 0.477, 0.520], [0.750, 0.194, 0.959], [0.767, 0.847, 0.215], [0.806, 0.556, 0.959], [0.888, 0.412, 0.520]]
}

---

7.
{
  "formula": "Ac2MnSbS6",
  "functional": "PBE-GGA",
  "state": "optimized geometry",
  "dos_ef_per_ev_fu": 1.91,
  "total_magnetization_mub_per_atom": 0.399,
  "formation_energy_uncorrected_kcal_per_mol_atoms": -29.711,
  "mass_density_g_cm3": 5.68,
  "vol_a3_per_atom": 24.07,
  "lattice": [[6.702, 0.000, 0.000], [0.000, 7.373, 0.000], [-6.635, 0.000, 9.741]],
  "species": ["Ac", "Ac", "Ac", "Ac", "Mn", "Mn", "Sb", "Sb", "S", "S", "S", "S", "S", "S", "S", "S", "S", "S", "S", "S"],
  "fractional_positions": [[0.216, 0.094, 0.249], [0.216, 0.406, 0.749], [0.784, 0.594, 0.251], [0.784, 0.906, 0.751], [0.000, 0.000, 0.500], [0.000, 0.500, 0.000], [0.500, 0.000, 0.000], [0.500, 0.500, 0.500], [0.124, 0.199, 0.949], [0.124, 0.301, 0.449], [0.255, 0.680, 0.952], [0.255, 0.820, 0.452], [0.339, 0.018, 0.737], [0.339, 0.482, 0.237], [0.661, 0.518, 0.763], [0.661, 0.982, 0.263], [0.745, 0.180, 0.548], [0.745, 0.320, 0.048], [0.876, 0.699, 0.551], [0.876, 0.801, 0.051]]
}

---

8.
{
  "formula": "Ac2MnSe2S2",
  "functional": "PBE-GGA",
  "state": "optimized geometry",
  "dos_ef_per_ev_fu": 1.52,
  "total_magnetization_mub_per_atom": 0.671,
  "formation_energy_uncorrected_kcal_per_mol_atoms": -35.123,
  "mass_density_g_cm3": 6.69,
  "vol_a3_per_atom": 25.92,
  "lattice": [[-2.072, 3.271, 6.694], [2.072, -3.271, 6.694], [2.072, 3.271, -6.694]],
  "species": ["Ac", "Ac", "Mn", "Se", "Se", "S", "S"],
  "fractional_positions": [[0.152, 0.152, 0.000], [0.848, 0.848, 0.000], [0.500, 0.000, 0.500], [0.240, 0.500, 0.740], [0.760, 0.500, 0.260], [0.306, 0.806, 0.500], [0.694, 0.194, 0.500]]
}